# 1
VASP calculation (PBE) on KTlSi after structural relaxation.

```
3
Lattice="-0.669 -0.791 7.577 2.694 -0.961 7.050 0.161 3.202 1.155" Properties=species:S:1:pos:R:3 pbc="T T T"
Si 0.761 1.608 5.492
K 2.007 -1.705 14.500
Tl 1.442 -0.203 10.417
```

Properties
Total DFT energy (no corrections), eV per atom: -2.694
Fermi-level density of states, states/eV/atom: 0.4480
E_form (uncorrected), eV per atom: 0.27

---

# 2
VASP calculation (PBE) on KTlSi after structural relaxation.

```
6
Lattice="13.967 0.000 -0.013 5.316 1.905 -3.637 -5.316 1.905 3.637" Properties=species:S:1:pos:R:3 pbc="T T T"
Tl 3.958 1.905 0.609
Tl 10.214 1.905 2.075
Si 4.544 1.905 3.432
Si 8.442 1.905 -0.657
K 12.222 1.905 -1.739
K 0.511 1.905 1.703
```

Properties
Total DFT energy (no corrections), eV per atom: -2.897
Fermi-level density of states, states/eV/atom: 0.4316
E_form (uncorrected), eV per atom: 0.06

---

# 3
VASP calculation (PBE) on KTlSi after structural relaxation.

```
12
Lattice="-10.858 4.343 3.785 -1.685 -3.207 -1.152 1.306 -3.457 7.713" Properties=species:S:1:pos:R:3 pbc="T T T"
Tl -1.180 -3.299 1.500
Tl -6.721 -0.830 2.729
Tl -4.516 -1.491 7.616
Tl -10.057 0.978 8.846
Si -6.624 -1.837 5.389
Si -10.599 3.161 3.560
Si -0.638 -5.482 6.785
Si -4.613 -0.485 4.956
K -8.233 1.182 5.611
K -8.071 -2.291 8.768
K -3.004 -3.503 4.734
K -3.167 -0.030 1.577
```

Properties
Total DFT energy (no corrections), eV per atom: -2.912
Fermi-level density of states, states/eV/atom: 0.2612
E_form (uncorrected), eV per atom: 0.05

---

# 4
VASP calculation (PBE) on KTlSi after structural relaxation.

```
6
Lattice="4.413 -2.548 0.000 0.000 5.096 0.000 0.000 0.000 7.671" Properties=species:S:1:pos:R:3 pbc="T T T"
K 2.942 0.000 0.000
K 2.942 0.000 3.836
Si 0.000 0.000 2.587
Si 0.000 0.000 5.084
Tl 1.471 2.548 5.930
Tl 1.471 2.548 1.741
```

Properties
Total DFT energy (no corrections), eV per atom: -2.790
Fermi-level density of states, states/eV/atom: 0.4307
E_form (uncorrected), eV per atom: 0.17

---

# 5
VASP calculation (PBE) on KTlSi after structural relaxation.

```
6
Lattice="-3.733 -12.099 3.237 -5.532 -5.501 -0.615 5.608 4.478 -3.120" Properties=species:S:1:pos:R:3 pbc="T T T"
Si 1.831 -6.232 -0.264
Si -4.569 -10.041 0.648
Tl 2.590 -3.448 -1.011
Tl 2.197 1.420 -2.352
K -1.646 -5.900 -0.426
K -0.590 -1.815 -1.523
```

Properties
Total DFT energy (no corrections), eV per atom: -2.932
Fermi-level density of states, states/eV/atom: 0.4043
E_form (uncorrected), eV per atom: 0.03

---

# 6
VASP calculation (PBE) on KTlSi3 after structural relaxation.

```
5
Lattice="5.542 0.000 0.000 0.000 5.542 0.000 0.000 0.000 5.542" Properties=species:S:1:pos:R:3 pbc="T T T"
Si 0.000 2.771 0.000
Si 2.771 0.000 0.000
Si 0.000 0.000 2.771
Tl 2.771 2.771 2.771
K 0.000 0.000 0.000
```

Properties
Total DFT energy (no corrections), eV per atom: -2.153
Fermi-level density of states, states/eV/atom: 0.7766
E_form (uncorrected), eV per atom: 1.79
Energy relative to the lowest polymorph listed for this composition, meV/atom: 703.0

---

# 7
VASP calculation (PBE) on KTlSi after structural relaxation.

```
6
Lattice="6.817 0.000 0.045 0.000 3.777 0.000 3.159 0.000 7.564" Properties=species:S:1:pos:R:3 pbc="T T T"
Tl 4.339 1.888 0.857
Tl 4.284 1.888 5.673
Si 2.812 1.888 3.245
Si 4.367 0.000 3.266
K 0.788 0.000 1.310
K 7.575 0.000 5.207
```

Properties
Total DFT energy (no corrections), eV per atom: -2.925
Fermi-level density of states, states/eV/atom: 0.0749
E_form (uncorrected), eV per atom: 0.04

---

# 8
VASP calculation (PBE) on KTlSi after structural relaxation.

```
3
Lattice="-0.949 -1.446 -6.626 3.682 -3.287 -4.747 -3.054 0.352 6.120" Properties=species:S:1:pos:R:3 pbc="T T T"
K 0.016 -0.028 -0.068
Si 1.887 -3.267 -7.851
Tl 0.830 -1.438 -3.455
```

Properties
Total DFT energy (no corrections), eV per atom: -2.680
Fermi-level density of states, states/eV/atom: 0.6847
E_form (uncorrected), eV per atom: 0.28

---

# 9
VASP calculation (PBE) on KTlSi after structural relaxation.

```
12
Lattice="12.403 0.000 0.000 0.000 7.111 0.000 0.000 0.000 4.447" Properties=species:S:1:pos:R:3 pbc="T T T"
Si 7.041 5.333 4.017
Si 11.563 1.778 1.794
Si 5.362 1.778 0.430
Si 0.840 5.333 2.653
K 2.642 1.778 2.570
K 8.844 1.778 4.100
K 3.559 5.333 0.347
K 9.761 5.333 1.877
Tl 0.000 0.000 0.000
Tl 0.000 3.556 0.000
Tl 6.201 3.556 2.223
Tl 6.201 0.000 2.223
```

Properties
Total DFT energy (no corrections), eV per atom: -2.741
Fermi-level density of states, states/eV/atom: 0.0011
E_form (uncorrected), eV per atom: 0.22

---

# 10
VASP calculation (PBE) on KTlSi after structural relaxation.

```
6
Lattice="-1.785 4.335 6.354 -5.667 -2.572 2.162 0.900 -3.003 2.306" Properties=species:S:1:pos:R:3 pbc="T T T"
K -4.855 -2.035 3.204
K -1.358 -1.878 5.323
Si -3.931 0.296 9.168
Si -1.298 -2.082 1.749
Tl -6.426 -1.077 8.355
Tl -4.190 0.377 6.088
```

Properties
Total DFT energy (no corrections), eV per atom: -2.926
Fermi-level density of states, states/eV/atom: 0.3866
E_form (uncorrected), eV per atom: 0.04

---

# 11
VASP calculation (PBE) on KTlSi after structural relaxation.

```
6
Lattice="-1.599 -3.444 -0.588 4.996 -5.420 5.534 -4.679 -0.781 4.638" Properties=species:S:1:pos:R:3 pbc="T T T"
K 0.657 -3.378 1.991
K -0.057 -5.891 6.038
Tl -3.739 -1.649 3.695
Tl 1.944 -9.017 6.324
Si -2.263 -4.414 3.388
Si -1.303 -2.991 4.995
```

Properties
Total DFT energy (no corrections), eV per atom: -2.942
Fermi-level density of states, states/eV/atom: 0.2698
E_form (uncorrected), eV per atom: 0.02

---

# 12
VASP calculation (PBE) on KTlSi after structural relaxation.

```
6
Lattice="-0.916 4.548 4.062 -4.805 -3.155 -2.232 0.820 -6.639 7.618" Properties=species:S:1:pos:R:3 pbc="T T T"
Tl 0.615 -4.980 5.713
Tl 0.205 -1.660 1.904
K -3.304 -2.247 1.770
K -1.598 -2.999 7.677
Si 0.410 -3.320 3.809
Si 0.000 0.000 0.000
```

Properties
Total DFT energy (no corrections), eV per atom: -2.330
Fermi-level density of states, states/eV/atom: 0.7553
E_form (uncorrected), eV per atom: 0.63

---

# 13
VASP calculation (PBE) on KTlSi after structural relaxation.

```
6
Lattice="4.769 0.000 0.000 0.000 4.769 0.000 0.000 0.000 8.108" Properties=species:S:1:pos:R:3 pbc="T T T"
K 0.000 2.384 6.867
K 2.384 0.000 1.240
Si 2.384 0.000 5.738
Si 0.000 2.384 2.370
Tl 0.000 0.000 4.054
Tl 2.384 2.384 4.054
```

Properties
Total DFT energy (no corrections), eV per atom: -2.810
Fermi-level density of states, states/eV/atom: 0.3053
E_form (uncorrected), eV per atom: 0.15

---

# 14
VASP calculation (PBE) on KTlSi after structural relaxation.

```
6
Lattice="-12.087 -1.989 -11.689 -1.345 -0.835 -6.463 2.902 -2.532 5.427" Properties=species:S:1:pos:R:3 pbc="T T T"
Tl -8.381 -2.570 -11.392
Tl -10.109 -2.402 -14.533
Si -0.694 -1.679 -2.744
Si -10.098 -3.919 -9.587
K -5.203 -2.081 -8.209
K -1.674 -1.080 -6.163
```

Properties
Total DFT energy (no corrections), eV per atom: -2.962
Fermi-level density of states, states/eV/atom: 0.2945
E_form (uncorrected), eV per atom: 0.00

---

# 15
VASP calculation (PBE) on KTlSi after structural relaxation.

```
6
Lattice="10.254 0.000 0.003 5.001 1.918 -4.879 -5.001 1.918 4.879" Properties=species:S:1:pos:R:3 pbc="T T T"
Si 8.656 1.918 -3.453
Si 4.959 1.918 0.900
Tl 2.556 1.918 -0.724
Tl 7.708 1.918 1.328
K 1.011 1.918 3.045
K 4.886 1.918 4.160
```

Properties
Total DFT energy (no corrections), eV per atom: -2.901
Fermi-level density of states, states/eV/atom: 0.3775
E_form (uncorrected), eV per atom: 0.06

---

# 16
VASP calculation (PBE) on KTlSi after structural relaxation.

```
6
Lattice="-3.275 3.186 0.220 0.824 -2.687 3.609 7.258 7.205 3.707" Properties=species:S:1:pos:R:3 pbc="T T T"
Tl 1.272 1.072 3.406
Tl 3.534 6.632 4.130
Si 4.901 4.675 5.260
Si -0.094 3.030 2.277
K 0.000 0.000 0.000
K 3.629 3.603 1.853
```

Properties
Total DFT energy (no corrections), eV per atom: -2.851
Fermi-level density of states, states/eV/atom: 0.0062
E_form (uncorrected), eV per atom: 0.11

---

# 17
VASP calculation (PBE) on KTlSi after structural relaxation.

```
6
Lattice="6.535 0.099 -0.959 0.786 8.185 0.011 -0.561 0.040 3.799" Properties=species:S:1:pos:R:3 pbc="T T T"
Tl 0.863 2.695 0.348
Tl 4.260 2.106 0.874
Si 2.714 4.088 2.533
Si 2.221 5.257 0.507
K 5.640 5.625 1.025
K 2.247 8.034 2.422
```

Properties
Total DFT energy (no corrections), eV per atom: -2.918
Fermi-level density of states, states/eV/atom: 0.2699
E_form (uncorrected), eV per atom: 0.04

---

# 18
VASP calculation (PBE) on KTlSi after structural relaxation.

```
6
Lattice="-0.915 -1.313 6.482 -7.748 -1.947 -0.035 1.792 -3.346 0.732" Properties=species:S:1:pos:R:3 pbc="T T T"
Tl -1.085 -3.230 4.462
Tl -1.701 -5.212 7.103
K -7.562 -2.798 1.953
K -5.171 -5.068 6.088
Si -4.179 -2.856 3.555
Si -2.841 -4.580 2.610
```

Properties
Total DFT energy (no corrections), eV per atom: -2.916
Fermi-level density of states, states/eV/atom: 0.3662
E_form (uncorrected), eV per atom: 0.05

---

# 19
VASP calculation (PBE) on KTlSi4 after structural relaxation.

```
6
Lattice="5.156 -2.044 0.512 2.683 0.397 4.865 0.895 -4.563 3.067" Properties=species:S:1:pos:R:3 pbc="T T T"
Tl 6.550 -4.658 6.333
Si 5.903 -3.359 3.395
Si 4.625 -2.098 5.645
Si 3.701 -4.661 4.716
Si 3.238 -2.303 3.131
K 0.000 0.000 0.000
```

Properties
Total DFT energy (no corrections), eV per atom: -3.809
Fermi-level density of states, states/eV/atom: 0.3596
E_form (uncorrected), eV per atom: 0.38

---

# 20
VASP calculation (PBE) on K2TlVSi after structural relaxation.

```
5
Lattice="6.381 0.000 0.000 0.000 4.838 0.000 0.000 0.000 6.381" Properties=species:S:1:pos:R:3 pbc="T T T"
K 0.000 0.000 3.190
K 3.190 0.000 0.000
Si 0.000 0.000 0.000
V 0.000 2.419 0.000
Tl 3.190 2.419 3.190
```

Properties
Total DFT energy (no corrections), eV per atom: -3.196
Fermi-level density of states, states/eV/atom: 1.0868
E_form (uncorrected), eV per atom: 0.62

---

# 21
VASP calculation (PBE) on KV2Si after structural relaxation.

```
8
Lattice="-3.153 1.757 -2.714 -3.043 -0.333 3.320 -0.891 9.096 3.168" Properties=species:S:1:pos:R:3 pbc="T T T"
V -1.785 2.891 0.189
V -3.752 7.273 3.433
V -5.329 8.152 2.076
V -3.307 2.725 1.849
Si -3.098 0.712 0.303
Si -3.516 4.738 3.395
K 0.000 0.000 0.000
K -3.571 5.783 0.379
```

Properties
Total DFT energy (no corrections), eV per atom: -5.193
Fermi-level density of states, states/eV/atom: 1.1758
E_form (uncorrected), eV per atom: 1.00

---

# 22
VASP calculation (PBE) on K2VSi after structural relaxation.

```
8
Lattice="12.695 0.000 0.000 0.000 12.695 0.000 6.348 6.348 2.421" Properties=species:S:1:pos:R:3 pbc="T T T"
V 12.695 6.348 1.210
V 0.000 0.000 0.000
K 5.553 9.522 0.605
K 9.522 11.901 1.815
K 15.869 13.490 1.815
K 7.143 3.174 0.605
Si 6.348 6.348 0.000
Si 6.348 12.695 1.210
```

Properties
Total DFT energy (no corrections), eV per atom: -3.528
Fermi-level density of states, states/eV/atom: 1.4173
E_form (uncorrected), eV per atom: 0.66

---

# 23
VASP calculation (PBE) on KSiW2 after structural relaxation.

```
4
Lattice="5.918 0.003 0.001 -2.980 5.113 0.001 0.548 0.953 2.424" Properties=species:S:1:pos:R:3 pbc="T T T"
W 0.000 0.000 0.000
W 1.469 2.558 0.001
Si -1.216 3.033 1.212
K 3.233 0.478 1.212
```

Properties
Total DFT energy (no corrections), eV per atom: -6.728
Fermi-level density of states, states/eV/atom: 0.9106
E_form (uncorrected), eV per atom: 1.38

---

# 24
VASP calculation (PBE) on KSi2W after structural relaxation.

```
4
Lattice="5.143 0.003 0.000 -0.981 5.048 0.000 0.000 0.000 2.722" Properties=species:S:1:pos:R:3 pbc="T T T"
K -0.491 2.524 1.361
Si 0.000 0.000 0.000
Si 2.081 2.526 0.000
W 2.571 0.002 1.361
```

Properties
Total DFT energy (no corrections), eV per atom: -5.260
Fermi-level density of states, states/eV/atom: 0.6938
E_form (uncorrected), eV per atom: 0.96
Energy relative to the lowest polymorph listed for this composition, meV/atom: 742.5

---

# 25
VASP calculation (PBE) on KSi2W after structural relaxation.

```
8
Lattice="5.753 0.000 0.000 0.000 5.753 0.000 2.876 2.876 7.570" Properties=species:S:1:pos:R:3 pbc="T T T"
Si 4.315 2.874 5.678
Si 7.191 2.879 5.678
Si 5.755 1.438 1.893
Si 5.750 4.315 1.893
W 0.000 0.000 0.000
W 5.753 2.876 3.785
K 2.876 5.753 3.785
K 2.876 2.876 0.000
```

Properties
Total DFT energy (no corrections), eV per atom: -5.636
Fermi-level density of states, states/eV/atom: 0.6241
E_form (uncorrected), eV per atom: 0.59
Energy relative to the lowest polymorph listed for this composition, meV/atom: 366.6

---

# 26
VASP calculation (PBE) on KSi2W after structural relaxation.

```
4
Lattice="-0.108 -0.706 3.182 -1.067 -3.001 -0.702 7.162 -2.476 -0.306" Properties=species:S:1:pos:R:3 pbc="T T T"
Si 2.972 -1.027 -0.127
Si 0.610 -0.211 -0.026
W 1.203 -2.472 1.164
K 4.784 -3.711 1.011
```

Properties
Total DFT energy (no corrections), eV per atom: -6.002
Fermi-level density of states, states/eV/atom: 0.8534
E_form (uncorrected), eV per atom: 0.22
Energy relative to the lowest polymorph listed for this composition, meV/atom: 0.0

---

# 27
VASP calculation (PBE) on KSiW2 after structural relaxation.

```
4
Lattice="6.225 -0.005 0.000 3.475 5.165 0.000 -4.041 -4.102 2.366" Properties=species:S:1:pos:R:3 pbc="T T T"
Si 2.142 1.821 1.183
K 3.517 -0.763 1.183
W 0.466 0.248 0.000
W 4.385 2.332 0.000
```

Properties
Total DFT energy (no corrections), eV per atom: -7.250
Fermi-level density of states, states/eV/atom: 0.8546
E_form (uncorrected), eV per atom: 0.86

---

We obtain magnetization values of 0.0; 0.0; 0.0; 0.0; 0.0; 0.0; 0.0; 0.0; 0.0; 0.0; 0.0; 0.0; 0.0; 0.0; 0.0; 0.0; 0.0; 0.0; 0.0; 3.9; 0.0; 6.9; 0.0; 0.0; 1.6; 0.0; 0.0 μB/cell for the records listed above, in that order.